Compound: BeTlOs2
Source: the Alexandria database
Functional: GGA-PBE
Structure: optimized geometry

Values from the calculation:
E_form   894 meV/atom
ΔE to the lowest computed polymorph   418 meV/atom
Space-group type   No. 119

a = 4.698 Å, b = 4.698 Å, c = 4.698 Å
α = 129.14°, β = 129.14°, γ = 74.79°
Element x y z (fractional)
Tl1 0.500 0.500 0.000
Be1 0.750 0.250 0.500
Os1 0.000 0.000 0.000
Os2 0.250 0.750 0.500



Compound: BeTlOs2
Source: the Alexandria database
Functional: GGA-PBE
Structure: optimized geometry

Values from the calculation:
E_form   659 meV/atom
ΔE to the lowest computed polymorph   183 meV/atom
Space-group type   No. 8

a = 4.346 Å, b = 4.346 Å, c = 5.723 Å
α = 82.96°, β = 82.96°, γ = 38.98°
Element x y z (fractional)
Be1 0.268 0.268 0.153
Tl1 0.495 0.495 0.488
Os1 0.997 0.997 0.023
Os2 0.740 0.740 0.835



Compound: Be3TlOs
Source: the Alexandria database
Functional: GGA-PBE
Structure: optimized geometry

Values from the calculation:
E_form   1922 meV/atom
ΔE to the lowest computed polymorph   1281 meV/atom
Space-group type   No. 221

a = 4.375 Å, b = 4.375 Å, c = 4.375 Å
α = 90.00°, β = 90.00°, γ = 90.00°
Element x y z (fractional)
Tl1 0.000 0.000 0.000
Be1 0.000 0.500 0.000
Be2 0.000 0.000 0.500
Be3 0.500 0.000 0.000
Os1 0.500 0.500 0.500



Compound: Be2TlOs2
Source: the Alexandria database
Functional: GGA-PBE
Structure: optimized geometry

Values from the calculation:
E_form   373 meV/atom
ΔE to the lowest computed polymorph   0 meV/atom
Space-group type   No. 127

a = 6.477 Å, b = 6.477 Å, c = 3.115 Å
α = 90.00°, β = 90.00°, γ = 90.00°
Element x y z (fractional)
Os1 0.340 0.160 0.500
Os2 0.160 0.660 0.500
Os3 0.660 0.840 0.500
Os4 0.840 0.340 0.500
Tl1 0.000 0.000 0.000
Tl2 0.500 0.500 0.000
Be1 0.119 0.381 0.000
Be2 0.381 0.881 0.000
Be3 0.619 0.119 0.000
Be4 0.881 0.619 0.000